1.
DFT (PBE-GGA) results for a relaxed SrLi2RhPb crystal.

Cell lengths 4.933, 4.933, 5.196 Å; angles 90.00, 90.00, 90.00 degrees
Fractional positions:
Sr  0.000  0.000  0.000
Li  0.000  0.500  0.500
Li  0.500  0.000  0.500
Rh  0.500  0.500  0.500
Pb  0.500  0.500  0.000

## Properties
total magnetization = 0.00 μB/f.u.
space-group type = P4/mmm
energy of formation = -200 meV per atom
uncorrected energy = -3.51 eV per atom

2.
DFT (PBE-GGA) results for a relaxed Li2Tb3RhPb3 crystal.

Cell lengths 8.435, 8.435, 3.547 Å; angles 90.00, 90.00, 120.00 degrees
Fractional positions:
Li  0.333  0.667  0.000
Li  0.667  0.333  0.000
Tb  0.000  0.742  0.000
Tb  0.258  0.258  0.000
Tb  0.742  0.000  0.000
Rh  0.000  0.000  0.500
Pb  0.000  0.394  0.500
Pb  0.394  0.000  0.500
Pb  0.606  0.606  0.500

## Properties
total magnetization = 0.00 μB/f.u.
space-group type = P-62m
energy of formation = -521 meV per atom
uncorrected energy = -4.54 eV per atom

3.
DFT (PBE-GGA) results for a relaxed LiTb3Rh2Pb3 crystal.

Cell lengths 7.885, 7.885, 3.758 Å; angles 90.00, 90.00, 120.00 degrees
Fractional positions:
Li  0.000  0.000  0.000
Tb  0.000  0.590  0.000
Tb  0.410  0.410  0.000
Tb  0.590  0.000  0.000
Rh  0.333  0.667  0.500
Rh  0.667  0.333  0.500
Pb  0.000  0.265  0.500
Pb  0.265  0.000  0.500
Pb  0.735  0.735  0.500

## Properties
total magnetization = 0.00 μB/f.u.
space-group type = P-62m
energy of formation = -608 meV per atom
uncorrected energy = -5.23 eV per atom

4.
DFT (PBE-GGA) results for a relaxed Li2TeRhPb crystal.

Cell lengths 4.946, 4.946, 4.996 Å; angles 90.00, 90.00, 90.00 degrees
Fractional positions:
Li  0.000  0.500  0.000
Li  0.500  0.000  0.000
Te  0.000  0.000  0.000
Rh  0.000  0.000  0.500
Pb  0.500  0.500  0.500

## Properties
total magnetization = 0.00 μB/f.u.
formation energy from raw total energies = -0.21 eV per formula unit
space-group type = P4/mmm
uncorrected energy = -3.65 eV per atom

5.
DFT (PBE-GGA) results for a relaxed LiThRhPb crystal.

Cell lengths 4.897, 4.897, 4.897 Å; angles 60.00, 60.00, 60.00 degrees
Fractional positions:
Li  0.000  0.000  0.000
Th  0.250  0.250  0.250
Rh  0.500  0.500  0.500
Pb  0.750  0.750  0.750

## Properties
total magnetization = 0.00 μB/f.u.
space-group type = F-43m
energy of formation = -530 meV per atom
uncorrected energy = -5.63 eV per atom

6.
DFT (PBE-GGA) results for a relaxed LiTiRhPb crystal.

Cell lengths 4.525, 4.525, 4.525 Å; angles 60.00, 60.00, 60.00 degrees
Fractional positions:
Li  0.000  0.000  0.000
Ti  0.250  0.250  0.250
Rh  0.500  0.500  0.500
Pb  0.750  0.750  0.750

## Properties
total magnetization = 0.00 μB/f.u.
space-group type = F-43m
energy of formation = -403 meV per atom
uncorrected energy = -5.62 eV per atom

7.
DFT (PBE-GGA) results for a relaxed Li2RuPb crystal.

Cell lengths 3.358, 4.385, 4.549 Å; angles 90.00, 90.00, 90.00 degrees
Fractional positions:
Li  0.000  0.000  0.000
Li  0.500  0.500  0.000
Ru  0.000  0.500  0.500
Pb  0.500  0.000  0.500

## Properties
total magnetization = 0.00 μB/f.u.
space-group type = Pmmm
energy of formation = 68 meV per atom
uncorrected energy = -4.13 eV per atom

8.
DFT (PBE-GGA) results for a relaxed LiRu3Pb crystal.

Cell lengths 5.049, 5.049, 5.049 Å; angles 90.00, 90.00, 90.00 degrees
Fractional positions:
Li  0.000  0.000  0.000
Ru  0.000  0.500  0.500
Ru  0.500  0.000  0.500
Ru  0.500  0.500  0.000
Pb  0.500  0.500  0.500

## Properties
total magnetization = 4.87 μB/f.u.
energy relative to the lowest polymorph listed for this composition = 0.944 eV per atom
space-group type = Pm-3m
energy of formation = 1956 meV per atom
uncorrected energy = -4.73 eV per atom